## CsBaTa (GGA-PBE)

Data for an optimized crystal structure of CsBaTa.

a b c (Å): 3.8202 19.1196 3.8151
angles (deg): 94.91 90.02 86.39
With the nearest neighbours (Å) after each atom.
Fractional coordinates of all 6 atoms:
Cs 0.4482 0.5595 0.4637  4 Cs 3.82
Cs 0.7423 0.3236 0.2833  4 Cs 3.82
Ta 0.3554 0.9167 0.6002  4 Ta 2.86
Ta 0.8396 0.9667 0.1216  4 Ta 2.86
Ba 0.2996 0.0944 0.6763  5 Ta 3.38-3.63
Ba 0.8955 0.7891 0.0456  5 Ta 3.38-3.63

Results
- Energy of formation: 0.57 eV per atom
- Space group: P1, No. 1
- Crystal system: triclinic